(one)
## Mg2SiSe (PBE-GGA)

Data for a relaxed Mg2SiSe crystal.

Values from the calculation:
N(E_F)   1.204 states/eV/cell
Mass density   3.11 g/cm3

Cell and atoms, written as CIF:
```
data_Mg2SiSe
_chemical_formula_sum 'Mg6 Si3 Se3'
_cell_length_a 3.6222
_cell_length_b 3.6222
_cell_length_c 21.9570
_cell_angle_alpha 90.00
_cell_angle_beta 90.00
_cell_angle_gamma 120.00
_space_group_name_H-M_alt 'R -3 m'
_space_group_IT_number 166
_space_group_name_Hall '-R 3 2"'
loop_
_atom_site_label
_atom_site_type_symbol
_atom_site_fract_x
_atom_site_fract_y
_atom_site_fract_z
Mg1 Mg 0.0000 0.0000 0.2421
Si1 Si 0.0000 0.0000 0.0000
Se1 Se 0.0000 0.0000 0.5000
```

(two)
## Mg2SiSe (PBE-GGA)

Data for a relaxed Mg2SiSe crystal.

Values from the calculation:
N(E_F)   2.352 states/eV/cell
Mass density   2.41 g/cm3

Cell and atoms, written as CIF:
```
data_Mg2SiSe
_chemical_formula_sum 'Mg8 Si4 Se4'
_cell_length_a 6.637
_cell_length_b 6.637
_cell_length_c 9.731
_cell_angle_alpha 90.00
_cell_angle_beta 90.00
_cell_angle_gamma 90.00
_space_group_name_H-M_alt 'I -4 2 d'
_space_group_IT_number 122
_space_group_name_Hall 'I -4 2bw'
loop_
_atom_site_label
_atom_site_type_symbol
_atom_site_fract_x
_atom_site_fract_y
_atom_site_fract_z
Mg1 Mg 0.233 0.250 0.125
Si1 Si 0.000 0.000 0.500
Se1 Se 0.000 0.000 0.000
```

(three)
## Mg2SiSe (PBE-GGA)

Data for a relaxed Mg2SiSe crystal.

Values from the calculation:
N(E_F)   12.608 states/eV/cell
Mass density   3.30 g/cm3

Cell and atoms, written as CIF:
```
data_Mg2SiSe
_chemical_formula_sum 'Mg8 Si4 Se4'
_cell_length_a 6.790
_cell_length_b 6.790
_cell_length_c 6.790
_cell_angle_alpha 90.00
_cell_angle_beta 90.00
_cell_angle_gamma 90.00
_space_group_name_H-M_alt 'F m -3 m'
_space_group_IT_number 225
_space_group_name_Hall '-F 4 2 3'
loop_
_atom_site_label
_atom_site_type_symbol
_atom_site_fract_x
_atom_site_fract_y
_atom_site_fract_z
Mg1 Mg 0.250 0.250 0.250
Si1 Si 0.000 0.000 0.000
Se1 Se 0.000 0.000 0.500
```

Which structure wins on stability? (one) wins.

(one)
## Mg2SiSe (PBE-GGA)

Data for a relaxed Mg2SiSe crystal.

Values from the calculation:
N(E_F)   1.517 states/eV/cell
Mass density   3.12 g/cm3

Cell and atoms, written as CIF:
```
data_Mg2SiSe
_chemical_formula_sum 'Mg2 Si1 Se1'
_cell_length_a 3.745
_cell_length_b 3.447
_cell_length_c 6.659
_cell_angle_alpha 90.00
_cell_angle_beta 105.62
_cell_angle_gamma 90.00
_space_group_name_H-M_alt 'P 1 2/m 1'
_space_group_IT_number 10
_space_group_name_Hall '-P 2y'
loop_
_atom_site_label
_atom_site_type_symbol
_atom_site_fract_x
_atom_site_fract_y
_atom_site_fract_z
Mg1 Mg 0.189 0.000 0.240
Si1 Si 0.500 0.500 0.000
Se1 Se 0.000 0.500 0.500
```

(two)
## Mg2SiSe (PBE-GGA)

Data for a relaxed Mg2SiSe crystal.

Values from the calculation:
N(E_F)   2.548 states/eV/cell
Mass density   3.17 g/cm3

Cell and atoms, written as CIF:
```
data_Mg2SiSe
_chemical_formula_sum 'Mg4 Si2 Se2'
_cell_length_a 10.983
_cell_length_b 3.764
_cell_length_c 4.131
_cell_angle_alpha 90.00
_cell_angle_beta 107.40
_cell_angle_gamma 90.00
_space_group_name_H-M_alt 'C 1 m 1'
_space_group_IT_number 8
_space_group_name_Hall 'C -2y'
loop_
_atom_site_label
_atom_site_type_symbol
_atom_site_fract_x
_atom_site_fract_y
_atom_site_fract_z
Mg1 Mg 0.000 0.000 0.000
Mg2 Mg 0.228 0.500 0.475
Si1 Si 0.470 0.000 0.482
Se1 Se 0.254 0.000 0.012
```

(three)
## Mg2SiSe (PBE-GGA)

Data for a relaxed Mg2SiSe crystal.

Values from the calculation:
N(E_F)   1.876 states/eV/cell
Mass density   3.33 g/cm3

Cell and atoms, written as CIF:
```
data_Mg2SiSe
_chemical_formula_sum 'Mg4 Si2 Se2'
_cell_length_a 6.102
_cell_length_b 7.507
_cell_length_c 3.398
_cell_angle_alpha 90.00
_cell_angle_beta 93.34
_cell_angle_gamma 90.00
_space_group_name_H-M_alt 'C 1 2/m 1'
_space_group_IT_number 12
_space_group_name_Hall '-C 2y'
loop_
_atom_site_label
_atom_site_type_symbol
_atom_site_fract_x
_atom_site_fract_y
_atom_site_fract_z
Mg1 Mg 0.250 0.250 0.000
Si1 Si 0.000 0.000 0.500
Se1 Se 0.000 0.500 0.500
```

(four)
## Mg2SiSe (PBE-GGA)

Data for a relaxed Mg2SiSe crystal.

Values from the calculation:
N(E_F)   2.117 states/eV/cell
Mass density   3.06 g/cm3

Cell and atoms, written as CIF:
```
data_Mg2SiSe
_chemical_formula_sum 'Mg2 Si1 Se1'
_cell_length_a 3.880
_cell_length_b 3.880
_cell_length_c 5.616
_cell_angle_alpha 90.00
_cell_angle_beta 90.00
_cell_angle_gamma 90.00
_space_group_name_H-M_alt 'P 4 m m'
_space_group_IT_number 99
_space_group_name_Hall 'P 4 -2'
loop_
_atom_site_label
_atom_site_type_symbol
_atom_site_fract_x
_atom_site_fract_y
_atom_site_fract_z
Mg1 Mg 0.000 0.000 0.000
Mg2 Mg 0.500 0.500 0.491
Si1 Si 0.500 0.500 0.990
Se1 Se 0.000 0.000 0.497
```

Which structure wins on stability? (four) wins.

(one)
## MgSiSe3 (PBE-GGA)

Data for a relaxed MgSiSe3 crystal.

Values from the calculation:
N(E_F)   4.448 states/eV/cell
Mass density   3.84 g/cm3

Cell and atoms, written as CIF:
```
data_MgSiSe3
_chemical_formula_sum 'Mg1 Si1 Se3'
_cell_length_a 5.002
_cell_length_b 5.002
_cell_length_c 5.002
_cell_angle_alpha 90.00
_cell_angle_beta 90.00
_cell_angle_gamma 90.00
_space_group_name_H-M_alt 'P m -3 m'
_space_group_IT_number 221
_space_group_name_Hall '-P 4 2 3'
loop_
_atom_site_label
_atom_site_type_symbol
_atom_site_fract_x
_atom_site_fract_y
_atom_site_fract_z
Mg1 Mg 0.000 0.000 0.000
Si1 Si 0.500 0.500 0.500
Se1 Se 0.000 0.000 0.500
```

(two)
## MgSiSe3 (PBE-GGA)

Data for a relaxed MgSiSe3 crystal.

Values from the calculation:
Mass density   3.28 g/cm3

Cell and atoms, written as CIF:
```
data_MgSiSe3
_chemical_formula_sum 'Mg2 Si2 Se6'
_cell_length_a 7.272
_cell_length_b 3.767
_cell_length_c 10.739
_cell_angle_alpha 90.00
_cell_angle_beta 95.86
_cell_angle_gamma 90.00
_space_group_name_H-M_alt 'P 1 21/m 1'
_space_group_IT_number 11
_space_group_name_Hall '-P 2yb'
loop_
_atom_site_label
_atom_site_type_symbol
_atom_site_fract_x
_atom_site_fract_y
_atom_site_fract_z
Mg1 Mg 0.174 0.250 0.135
Si1 Si 0.308 0.250 0.735
Se1 Se 0.087 0.250 0.877
Se2 Se 0.259 0.750 0.602
Se3 Se 0.417 0.750 0.149
```

Which structure wins on stability? (two) wins.

(one)
## SmMgSe3 (PBE-GGA)

Data for a relaxed SmMgSe3 crystal.

Values from the calculation:
N(E_F)   30.070 states/eV/cell
Mass density   4.97 g/cm3

Cell and atoms, written as CIF:
```
data_SmMgSe3
_chemical_formula_sum 'Sm6 Mg6 Se18'
_cell_length_a 7.2342
_cell_length_b 7.2342
_cell_length_c 18.2094
_cell_angle_alpha 90.00
_cell_angle_beta 90.00
_cell_angle_gamma 120.00
_space_group_name_H-M_alt 'R -3'
_space_group_IT_number 148
_space_group_name_Hall '-R 3'
loop_
_atom_site_label
_atom_site_type_symbol
_atom_site_fract_x
_atom_site_fract_y
_atom_site_fract_z
Sm1 Sm 0.0000 0.0000 0.1481
Mg1 Mg 0.0000 0.0000 0.3470
Se1 Se 0.0147 0.6450 0.9192
```

(two)
## SmMgSe3 (PBE-GGA)

Data for a relaxed SmMgSe3 crystal.

Values from the calculation:
N(E_F)   7.242 states/eV/cell
Mass density   4.80 g/cm3

Cell and atoms, written as CIF:
```
data_SmMgSe3
_chemical_formula_sum 'Sm4 Mg4 Se12'
_cell_length_a 8.631
_cell_length_b 11.892
_cell_length_c 6.401
_cell_angle_alpha 90.00
_cell_angle_beta 119.82
_cell_angle_gamma 90.00
_space_group_name_H-M_alt 'C 1 2/m 1'
_space_group_IT_number 12
_space_group_name_Hall '-C 2y'
loop_
_atom_site_label
_atom_site_type_symbol
_atom_site_fract_x
_atom_site_fract_y
_atom_site_fract_z
Sm1 Sm 0.229 0.000 0.189
Mg1 Mg 0.000 0.329 0.000
Se1 Se 0.025 0.156 0.768
Se2 Se 0.098 0.500 0.300
```

Which structure wins on stability? (one) wins.